Pm2AsS: optimized geometry, PBE.

Size of the total moment (μB per formula unit): 0.0

a = 4.1481 Å, b = 5.8532 Å, c = 8.2735 Å
α = 90.00°, β = 90.00°, γ = 90.00°
Space group Pmmn (No. 59, origin choice 2)
One atom of each set of equivalent atoms:
Pm  0.2500  0.2500  0.1242 x2
Pm  0.2500  0.2500  0.6257 x2
As  0.2500  0.7500  0.6277 x2
S  0.2500  0.7500  0.1227 x2

---

Pm3AsS: optimized geometry, PBE.

Size of the total moment (μB per formula unit): 0.0

a = 5.2682 Å, b = 5.2682 Å, c = 5.2682 Å
α = 90.00°, β = 90.00°, γ = 90.00°
Space group Pm-3m (No. 221)
One atom of each set of equivalent atoms:
Pm  0.0000  0.0000  0.5000 x3
As  0.5000  0.5000  0.5000 x1
S  0.0000  0.0000  0.0000 x1

---

PmSbAs: optimized geometry, PBE.

Size of the total moment (μB per formula unit): 0.0

a = 7.1520 Å, b = 7.1520 Å, c = 7.1520 Å
α = 90.00°, β = 90.00°, γ = 90.00°
Space group F-43m (No. 216)
One atom of each set of equivalent atoms:
Pm  0.0000  0.0000  0.0000 x4
Sb  0.2500  0.2500  0.7500 x4
As  0.0000  0.0000  0.5000 x4

---

PmScAs: optimized geometry, PBE.

Size of the total moment (μB per formula unit): 0.0

a = 6.7059 Å, b = 6.7059 Å, c = 6.7059 Å
α = 90.00°, β = 90.00°, γ = 90.00°
Space group F-43m (No. 216)
One atom of each set of equivalent atoms:
Pm  0.0000  0.0000  0.0000 x4
Sc  0.0000  0.0000  0.5000 x4
As  0.2500  0.2500  0.2500 x4

---

PmScAs: optimized geometry, PBE.

Size of the total moment (μB per formula unit): 0.0

a = 4.1931 Å, b = 4.1931 Å, c = 7.9927 Å
α = 90.00°, β = 90.00°, γ = 90.00°
Space group P4/nmm (No. 129, origin choice 2)
One atom of each set of equivalent atoms:
Pm  0.2500  0.2500  0.1480 x2
Sc  0.2500  0.7500  0.5000 x2
As  0.2500  0.2500  0.7538 x2

---

Pm3AsSe2: optimized geometry, PBE.

Size of the total moment (μB per formula unit): 0.0

a = 4.1973 Å, b = 5.9383 Å, c = 12.6783 Å
α = 90.00°, β = 90.00°, γ = 90.00°
Space group Immm (No. 71)
One atom of each set of equivalent atoms:
Pm  0.0000  0.0000  0.0000 x2
Pm  0.0000  0.0000  0.3401 x4
As  0.0000  0.5000  0.0000 x2
Se  0.0000  0.5000  0.3319 x4

---

Pm3As2Se: optimized geometry, PBE.

Size of the total moment (μB per formula unit): 0.0

a = 4.2241 Å, b = 5.9643 Å, c = 12.6628 Å
α = 90.00°, β = 90.00°, γ = 90.00°
Space group Immm (No. 71)
One atom of each set of equivalent atoms:
Pm  0.0000  0.0000  0.0000 x2
Pm  0.0000  0.0000  0.3282 x4
As  0.0000  0.5000  0.3343 x4
Se  0.0000  0.5000  0.0000 x2

---

PmSiAs: optimized geometry, PBE.

Size of the total moment (μB per formula unit): 0.0

a = 6.7019 Å, b = 6.7019 Å, c = 6.7019 Å
α = 90.00°, β = 90.00°, γ = 90.00°
Space group F-43m (No. 216)
One atom of each set of equivalent atoms:
Pm  0.0000  0.0000  0.0000 x4
Si  0.2500  0.2500  0.7500 x4
As  0.0000  0.0000  0.5000 x4

---

PmSmAs: optimized geometry, PBE.

Size of the total moment (μB per formula unit): 0.0

a = 6.9888 Å, b = 6.9888 Å, c = 6.9888 Å
α = 90.00°, β = 90.00°, γ = 90.00°
Space group F-43m (No. 216)
One atom of each set of equivalent atoms:
Pm  0.0000  0.0000  0.0000 x4
Sm  0.0000  0.0000  0.5000 x4
As  0.2500  0.2500  0.2500 x4

---

Pm2SmAs3: optimized geometry, PBE.

Size of the total moment (μB per formula unit): 0.0

a = 4.2251 Å, b = 4.2251 Å, c = 10.3526 Å
α = 90.00°, β = 90.00°, γ = 120.00°
Space group P-3m1 (No. 164)
One atom of each set of equivalent atoms:
Pm  0.3333  0.6667  0.3328 x2
Sm  0.0000  0.0000  0.0000 x1
As  0.0000  0.0000  0.5000 x1
As  0.3333  0.6667  0.8345 x2

---

Pm3SmAs4: optimized geometry, PBE.

Size of the total moment (μB per formula unit): 0.0

a = 8.4552 Å, b = 11.9579 Å, c = 4.2296 Å
α = 90.00°, β = 90.00°, γ = 90.00°
Space group Cmmm (No. 65)
One atom of each set of equivalent atoms:
Pm  0.0000  0.0000  0.0000 x2
Pm  0.2500  0.2500  0.5000 x4
Sm  0.0000  0.5000  0.0000 x2
As  0.0000  0.2505  0.0000 x4
As  0.2491  0.5000  0.5000 x4

---

PmSm3As4: optimized geometry, PBE.

Size of the total moment (μB per formula unit): 0.0

a = 8.4318 Å, b = 11.9250 Å, c = 4.2178 Å
α = 90.00°, β = 90.00°, γ = 90.00°
Space group Cmmm (No. 65)
One atom of each set of equivalent atoms:
Pm  0.0000  0.0000  0.0000 x2
Sm  0.0000  0.5000  0.0000 x2
Sm  0.2500  0.2500  0.5000 x4
As  0.0000  0.2505  0.0000 x4
As  0.2490  0.5000  0.5000 x4

---

Number 1: raw total energy -0.46862 Ry/atom. Number 2: raw total energy -0.39535 Ry/atom. Number 3: raw total energy -0.35041 Ry/atom. Number 4: raw total energy -0.44127 Ry/atom. Number 5: raw total energy -0.46092 Ry/atom. Number 6: raw total energy -0.44782 Ry/atom. Number 7: raw total energy -0.45541 Ry/atom. Number 8: raw total energy -0.37688 Ry/atom. Number 9: raw total energy -0.40653 Ry/atom. Number 10: raw total energy -0.45732 Ry/atom. Number 11: raw total energy -0.45741 Ry/atom. Number 12: raw total energy -0.45688 Ry/atom.